Compound: CsPuVF6
Source: Alexandria
Functional: GGA+U
Structure: relaxed

abc: 7.667 8.062 10.695
angles: 90.00 90.00 90.00
Space group Imma (No. 74)
Inequivalent atoms, fractional coordinates:
Cs  0.000  0.250  0.091
Pu  0.000  0.000  0.500
V  0.250  0.250  0.750
F  0.000  0.250  0.393
F  0.000  0.250  0.668
F  0.242  0.059  0.885

volume: 661.06 Å³/cell
density of states at the Fermi level: 17.957 states/eV/cell
electronic total energy: -6.88 eV/atom